# 1
Material: Cs5KRb2S
Method: DFT, PBE-GGA
State: relaxed

Lattice parameters (Å, degrees): 10.371 10.371 14.604 90.00 90.00 90.00
Space group I4mm (No. 107)
One atom of each set of equivalent atoms:
Cs  0.000  0.000  0.000 [2 per cell]
Cs  0.231  0.231  0.771 [8 per cell]
K  0.000  0.000  0.555 [2 per cell]
Rb  0.000  0.500  0.021 [4 per cell]
S  0.000  0.000  0.769 [2 per cell]

Properties
Its raw formation energy is -0.328 eV per atom. Its total energy is -1.598 eV per atom. Its magnetization is 0.0 μB/f.u. Its density of states at the Fermi level is 10.18 states/eV per cell.


# 2
Material: CsK2RbS
Method: DFT, PBE-GGA
State: relaxed

Lattice parameters (Å, degrees): 6.497 6.497 6.767 90.00 90.00 90.00
Space group P4/mmm (No. 123)
One atom of each set of equivalent atoms:
Cs  0.000  0.000  0.000 [1 per cell]
K  0.000  0.500  0.500 [2 per cell]
Rb  0.500  0.500  0.000 [1 per cell]
S  0.500  0.500  0.500 [1 per cell]

Properties
Its raw formation energy is -0.485 eV per atom. Its total energy is -2.113 eV per atom. Its magnetization is 0.0 μB/f.u. The value obtained for the offset from the most stable computed form is 0.026 eV/atom. Its density of states at the Fermi level is 1.65 states/eV per cell.


# 3
Material: Cs2KRb6S
Method: DFT, PBE-GGA
State: relaxed

Lattice parameters (Å, degrees): 15.292 15.093 9.888 90.00 130.24 90.00
Space group Cm (No. 8)
One atom of each set of equivalent atoms:
Cs  0.000  0.208  0.000 [4 per cell]
K  0.001  0.000  0.501 [2 per cell]
Rb  0.000  0.287  0.500 [4 per cell]
Rb  0.190  0.500  0.928 [2 per cell]
Rb  0.191  0.500  0.453 [2 per cell]
Rb  0.310  0.000  0.547 [2 per cell]
Rb  0.311  0.000  0.073 [2 per cell]
S  0.001  0.500  0.500 [2 per cell]

Properties
Its raw formation energy is -0.247 eV per atom. Its total energy is -1.521 eV per atom. Its magnetization is 0.0 μB/f.u. Its density of states at the Fermi level is 13.72 states/eV per cell.


# 4
Material: CsK6Rb2S
Method: DFT, PBE-GGA
State: relaxed

Lattice parameters (Å, degrees): 8.880 8.903 12.115 90.72 109.51 119.36
Space group P1 (No. 1)
One atom of each set of equivalent atoms:
Cs  0.000  0.000  0.000 [1 per cell]
K  0.176  0.828  0.399 [1 per cell]
K  0.178  0.335  0.406 [1 per cell]
K  0.351  0.682  0.731 [1 per cell]
K  0.650  0.318  0.269 [1 per cell]
K  0.821  0.663  0.594 [1 per cell]
K  0.825  0.171  0.601 [1 per cell]
Rb  0.439  0.712  0.139 [1 per cell]
Rb  0.562  0.287  0.861 [1 per cell]
S  0.000  0.500  0.500 [1 per cell]

Properties
Its raw formation energy is -0.267 eV per atom. Its total energy is -1.617 eV per atom. Its magnetization is 0.0 μB/f.u. Its density of states at the Fermi level is 7.01 states/eV per cell.


# 5
Material: Cs2K6RbS
Method: DFT, PBE-GGA
State: relaxed

Lattice parameters (Å, degrees): 9.108 9.110 12.201 68.22 68.22 60.06
Space group P1 (No. 1)
One atom of each set of equivalent atoms:
Cs  0.000  0.000  0.000 [1 per cell]
Cs  0.405  0.403  0.791 [1 per cell]
K  0.414  0.415  0.238 [1 per cell]
K  0.414  0.930  0.240 [1 per cell]
K  0.476  0.990  0.549 [1 per cell]
K  0.930  0.413  0.242 [1 per cell]
K  0.991  0.472  0.550 [1 per cell]
K  0.992  0.988  0.552 [1 per cell]
Rb  0.702  0.701  0.895 [1 per cell]
S  0.203  0.201  0.395 [1 per cell]

Properties
Its raw formation energy is -0.272 eV per atom. Its total energy is -1.611 eV per atom. Its magnetization is 0.0 μB/f.u. Its density of states at the Fermi level is 6.69 states/eV per cell.


# 6
Material: CsKRbSb
Method: DFT, PBE-GGA
State: relaxed

Lattice parameters (Å, degrees): 8.895 8.895 8.895 90.00 90.00 90.00
Space group F-43m (No. 216)
One atom of each set of equivalent atoms:
Cs  0.000  0.000  0.000 [4 per cell]
K  0.250  0.250  0.750 [4 per cell]
Rb  0.250  0.250  0.250 [4 per cell]
Sb  0.000  0.000  0.500 [4 per cell]

Properties
Its raw formation energy is -0.370 eV per atom. Its total energy is -2.130 eV per atom. Its magnetization is 0.0 μB/f.u.


# 7
Material: CsK2RbSb
Method: DFT, PBE-GGA
State: relaxed

Lattice parameters (Å, degrees): 6.925 6.925 7.588 90.00 90.00 90.00
Space group P4/mmm (No. 123)
One atom of each set of equivalent atoms:
Cs  0.000  0.000  0.000 [1 per cell]
K  0.000  0.500  0.500 [2 per cell]
Rb  0.500  0.500  0.000 [1 per cell]
Sb  0.000  0.000  0.500 [1 per cell]

Properties
Its raw formation energy is -0.164 eV per atom. Its total energy is -1.792 eV per atom. Its magnetization is 0.4 μB/f.u. The value obtained for the offset from the most stable computed form is 0.029 eV/atom. Its density of states at the Fermi level is 5.44 states/eV per cell.


# 8
Material: CsK2RbSb
Method: DFT, PBE-GGA
State: relaxed

Lattice parameters (Å, degrees): 6.936 6.936 7.260 90.00 90.00 90.00
Space group P4/mmm (No. 123)
One atom of each set of equivalent atoms:
Cs  0.000  0.000  0.000 [1 per cell]
K  0.000  0.500  0.500 [2 per cell]
Rb  0.500  0.500  0.000 [1 per cell]
Sb  0.500  0.500  0.500 [1 per cell]

Properties
Its raw formation energy is -0.193 eV per atom. Its total energy is -1.821 eV per atom. Its magnetization is 0.0 μB/f.u. The value obtained for the offset from the most stable computed form is 0.000 eV/atom. Its density of states at the Fermi level is 3.92 states/eV per cell.